Crystalline TlFe3Au at its relaxed geometry, computed with PBE.

```
data_TlFe3Au
_chemical_formula_sum 'Tl1 Fe3 Au1'
_space_group_name_H-M_alt 'P m -3 m'
_space_group_IT_number 221
_space_group_name_Hall '-P 4 2 3'
_cell_length_a 4.820
_cell_length_b 4.820
_cell_length_c 4.820
_cell_angle_alpha 90.00
_cell_angle_beta 90.00
_cell_angle_gamma 90.00
loop_
_atom_site_label
_atom_site_type_symbol
_atom_site_fract_x
_atom_site_fract_y
_atom_site_fract_z
_atom_site_occupancy
Tl1 Tl 0.000 0.000 0.000 1
Fe1 Fe 0.000 0.500 0.500 1
Au1 Au 0.500 0.500 0.500 1
```

Calculated values
DOS(E_F): 6.5 states/eV/f.u.
E above lowest polymorph: 0 meV per atom
raw total energy: -5.0611 eV per atom

---

Crystalline TlFeAu2 at its relaxed geometry, computed with PBE.

```
data_TlFeAu2
_chemical_formula_sum 'Tl2 Fe2 Au4'
_space_group_name_H-M_alt 'C 1 2/m 1'
_space_group_IT_number 12
_cell_length_a 5.700
_cell_length_b 10.162
_cell_length_c 2.985
_cell_angle_alpha 90.00
_cell_angle_beta 119.82
_cell_angle_gamma 90.00
loop_
_space_group_symop_operation_xyz
'x,y,z'
'-x,-y,-z'
'-x,y,-z'
'x,-y,z'
'x+1/2,y+1/2,z'
'-x+1/2,-y+1/2,-z'
'-x+1/2,y+1/2,-z'
'x+1/2,-y+1/2,z'
loop_
_atom_site_label
_atom_site_type_symbol
_atom_site_fract_x
_atom_site_fract_y
_atom_site_fract_z
_atom_site_occupancy
Tl1 Tl 0.000 0.000 0.000 1
Fe1 Fe 0.000 0.500 0.000 1
Au1 Au 0.250 0.250 0.500 1
```

Calculated values
DOS(E_F): 3.3 states/eV/f.u.
E above lowest polymorph: 171 meV per atom
raw total energy: -3.9929 eV per atom

---

Crystalline TlFeAu2 at its relaxed geometry, computed with PBE.

```
data_TlFeAu2
_chemical_formula_sum 'Tl3 Fe3 Au6'
_space_group_name_H-M_alt 'R -3 m'
_space_group_IT_number 166
_space_group_name_Hall '-R 3 2"'
_cell_length_a 3.3267
_cell_length_b 3.3267
_cell_length_c 25.3533
_cell_angle_alpha 90.00
_cell_angle_beta 90.00
_cell_angle_gamma 120.00
loop_
_atom_site_label
_atom_site_type_symbol
_atom_site_fract_x
_atom_site_fract_y
_atom_site_fract_z
_atom_site_occupancy
Tl1 Tl 0.0000 0.0000 0.0000 1
Fe1 Fe 0.0000 0.0000 0.5000 1
Au1 Au 0.0000 0.0000 0.2377 1
```

Calculated values
DOS(E_F): 3.2 states/eV/f.u.
E above lowest polymorph: 107 meV per atom
raw total energy: -4.0561 eV per atom